# 1
First-principles (GGA-PBE) data for a relaxed Cs2NbAgI6 crystal, as listed in Alexandria.

Calculated values
Formation energy (no corrections) (eV per atom): -0.786
N(E_F) (states/eV per atom): 0.883
Volume (Å³/atom): 41.8

```
10
Lattice="-4.1923 4.1923 5.9392 4.1923 -4.1923 5.9392 4.1923 4.1923 -5.9392" Properties=species:S:1:pos:R:3 pbc="T T T"
Cs 4.1923 0.0000 2.9696
Cs 0.0000 4.1923 2.9696
Nb 0.0000 0.0000 0.0000
Ag 0.0000 0.0000 5.9392
I 0.0000 0.0000 2.8794
I 2.0369 2.0369 0.0000
I 2.1554 -2.1554 5.9392
I -2.1554 2.1554 5.9392
I 2.1554 2.1554 5.9392
I 0.0000 0.0000 8.9989
```

---

# 2
First-principles (GGA-PBE) data for a relaxed BaSr2PbO4 crystal, as listed in Alexandria.

Calculated values
Formation energy (no corrections) (eV per atom): -2.118
N(E_F) (states/eV per atom): 0.000
Volume (Å³/atom): 19.3

```
16
Lattice="1.8053 -7.0758 0.0000 1.8053 7.0758 0.0000 0.0000 0.0000 12.1062" Properties=species:S:1:pos:R:3 pbc="T T T"
Ba 1.8053 3.7931 9.0797
Ba 1.8053 -3.7931 3.0266
Sr 1.8053 1.8150 0.0786
Sr 1.8053 1.8150 5.9745
Sr 1.8053 -1.8150 6.1317
Sr 1.8053 -1.8150 12.0277
Pb 1.8053 6.6885 3.0266
Pb 1.8053 -6.6885 9.0797
O 0.0000 0.0000 0.0000
O 0.0000 0.0000 6.0531
O 1.8053 4.1295 1.2838
O 1.8053 4.1295 4.7693
O 1.8053 1.0973 3.0266
O 1.8053 -1.0973 9.0797
O 1.8053 -4.1295 7.3370
O 1.8053 -4.1295 10.8224
```

---

# 3
First-principles (GGA-PBE) data for a relaxed CsLa2Mo crystal, as listed in Alexandria.

Calculated values
N(E_F) (states/eV per atom): 1.581
Energy of formation (meV per atom): 974
Volume (Å³/atom): 29.9

```
16
Lattice="7.8246 0.0000 0.0000 0.0000 7.8246 0.0000 0.0000 0.0000 7.8246" Properties=species:S:1:pos:R:3 pbc="T T T"
Cs 0.0000 0.0000 0.0000
Cs 0.0000 3.9123 3.9123
Cs 3.9123 0.0000 3.9123
Cs 3.9123 3.9123 0.0000
La 1.9561 1.9561 1.9561
La 1.9561 1.9561 5.8684
La 1.9561 5.8684 1.9561
La 1.9561 5.8684 5.8684
La 5.8684 1.9561 1.9561
La 5.8684 1.9561 5.8684
La 5.8684 5.8684 1.9561
La 5.8684 5.8684 5.8684
Mo 0.0000 0.0000 3.9123
Mo 0.0000 3.9123 0.0000
Mo 3.9123 0.0000 0.0000
Mo 3.9123 3.9123 3.9123
```

---

# 4
First-principles (GGA-PBE) data for a relaxed HoZr2AlRu4 crystal, as listed in Alexandria.

Calculated values
N(E_F) (states/eV per atom): 0.446
Energy of formation (meV per atom): -572
Volume (Å³/atom): 17.0

```
8
Lattice="2.2894 1.3218 7.5038 -2.2894 1.3218 7.5038 0.0000 -2.6436 7.5038" Properties=species:S:1:pos:R:3 pbc="T T T"
Ho 0.0000 0.0000 0.0000
Zr 0.0000 0.0000 5.4938
Zr 0.0000 0.0000 17.0177
Al 0.0000 0.0000 11.2558
Ru 0.0000 0.0000 2.8570
Ru 0.0000 0.0000 8.5499
Ru 0.0000 0.0000 13.9616
Ru 0.0000 0.0000 19.6545
```

---

# 5
First-principles (GGA-PBE) data for a relaxed BePdSe2Br crystal, as listed in Alexandria.

Calculated values
Formation energy (no corrections) (eV per atom): 0.382
N(E_F) (states/eV per atom): 1.186
Excess energy over the best structure of this formula in the dataset (eV per atom): 0.000
Volume (Å³/atom): 20.0

```
5
Lattice="4.6098 0.0000 0.0000 0.0000 4.6098 0.0000 0.0000 0.0000 4.7086" Properties=species:S:1:pos:R:3 pbc="T T T"
Be 0.0000 0.0000 0.0000
Pd 2.3049 2.3049 2.3543
Se 0.0000 2.3049 0.0000
Se 2.3049 0.0000 0.0000
Br 0.0000 0.0000 2.3543
```

---

# 6
First-principles (GGA-PBE) data for a relaxed Ti4Co3 crystal, as listed in Alexandria.

Calculated values
N(E_F) (states/eV per atom): 0.979
Excess energy over the best structure of this formula in the dataset (eV per atom): 0.133
Energy of formation (meV per atom): -172
Volume (Å³/atom): 15.0

```
14
Lattice="11.5219 0.0000 0.0000 0.0000 3.8339 0.0000 -1.5731 0.0000 4.7572" Properties=species:S:1:pos:R:3 pbc="T T T"
Ti 0.5483 0.0000 1.3896
Ti 0.6102 1.9170 3.8171
Ti 3.5777 0.0000 0.9401
Ti 3.6396 1.9170 3.3675
Ti 6.3092 1.9170 1.3896
Ti 6.3712 0.0000 3.8171
Ti 9.3386 1.9170 0.9401
Ti 9.4006 0.0000 3.3675
Co 0.0000 1.9170 0.0000
Co 2.0983 1.9170 1.4818
Co 2.0895 0.0000 3.2754
Co 5.7610 0.0000 0.0000
Co 7.8593 0.0000 1.4818
Co 7.8505 1.9170 3.2754
```

---

# 7
First-principles (GGA-PBE) data for a relaxed Y6Cd5Au crystal, as listed in Alexandria.

Calculated values
N(E_F) (states/eV per atom): 0.907
Energy of formation (meV per atom): -432
Volume (Å³/atom): 25.8

```
12
Lattice="2.6302 -7.9072 0.0000 2.6302 7.9072 0.0000 0.0000 0.0000 7.4508" Properties=species:S:1:pos:R:3 pbc="T T T"
Y 0.0000 0.0000 1.7935
Y 0.0000 0.0000 5.6573
Y 2.6302 2.5632 1.8378
Y 2.6302 2.5632 5.6129
Y 2.6302 -2.5632 1.8378
Y 2.6302 -2.5632 5.6129
Cd 2.6302 5.2306 3.7254
Cd 2.6302 5.1654 0.0000
Cd 2.6302 0.0000 3.7254
Cd 2.6302 -5.1654 0.0000
Cd 2.6302 -5.2306 3.7254
Au 2.6302 0.0000 0.0000
```

---

# 8
First-principles (GGA-PBE) data for a relaxed Ba2NdMg12Cd3 crystal, as listed in Alexandria.

Calculated values
N(E_F) (states/eV per atom): 0.520
Energy of formation (meV per atom): 173
Volume (Å³/atom): 32.2

```
18
Lattice="4.4498 2.5691 8.4449 -4.4498 2.5691 8.4449 0.0000 -5.1382 8.4449" Properties=species:S:1:pos:R:3 pbc="T T T"
Ba 0.0000 0.0000 2.1350
Ba 0.0000 0.0000 23.1997
Nd 0.0000 0.0000 12.6674
Mg -2.7926 -1.6123 11.6961
Mg 0.0000 -1.7915 10.0863
Mg -1.5514 0.8957 10.0863
Mg 0.0000 -3.2246 13.6387
Mg -2.7926 1.6123 13.6387
Mg -1.5514 -0.8957 15.2485
Mg 1.5514 0.8957 10.0863
Mg 2.7926 -1.6123 11.6961
Mg 0.0000 3.2246 11.6961
Mg 1.5514 -0.8957 15.2485
Mg 0.0000 1.7915 15.2485
Mg 2.7926 1.6123 13.6387
Cd -2.2249 -1.2845 8.4449
Cd -2.2249 1.2845 16.8898
Cd 0.0000 2.5691 8.4449
```